The following is a PBE calculation of a geometry-optimized LaTc2Ir2 structure, from Alexandria.

The structure in extended XYZ format:
```
10
Lattice="7.843 0.000 0.000 0.000 7.843 0.000 0.000 0.000 2.823" Properties=species:S:1:pos:R:3 pbc="T T T"
Ir 1.358 5.279 1.411
Ir 5.279 6.485 1.411
Ir 6.485 2.563 1.411
Ir 2.563 1.358 1.411
Tc 2.997 6.918 0.000
Tc 6.918 4.846 0.000
Tc 4.846 0.925 0.000
Tc 0.925 2.997 0.000
La 0.000 0.000 0.000
La 3.921 3.921 0.000
```

Computed properties:
The value obtained for the total moment is 0.000 μB per cell. The value obtained for the energy relative to the elements is -100 meV/atom. The value obtained for the distance to the lowest polymorph of the same formula is 11 meV per atom.

***

The following is a PBE calculation of a geometry-optimized NaGe2Bi2 structure, from Alexandria.

The structure in extended XYZ format:
```
5
Lattice="-4.377 -1.224 1.491 -1.490 -0.201 -4.540 -1.156 -7.418 -1.811" Properties=species:S:1:pos:R:3 pbc="T T T"
Na 0.000 0.000 0.000
Ge -4.233 -4.677 -0.922
Ge -2.790 -4.166 -3.938
Bi -2.498 -2.358 -1.595
Bi -4.526 -6.485 -3.265
```

Computed properties:
The value obtained for the total moment is 0.000 μB per cell. The value obtained for the energy relative to the elements is 92 meV/atom. The value obtained for the distance to the lowest polymorph of the same formula is 44 meV per atom.

***

The following is a PBE calculation of a geometry-optimized SrRuSe2 structure, from Alexandria.

The structure in extended XYZ format:
```
4
Lattice="-2.880 4.468 -6.997 -6.168 3.319 -5.308 -4.343 6.487 -4.035" Properties=species:S:1:pos:R:3 pbc="T T T"
Ru -3.625 3.864 -4.424
Se -12.973 13.829 -15.831
Se -10.151 10.821 -12.387
Sr -6.726 7.170 -8.208
```

Computed properties:
The value obtained for the total moment is 0.214 μB per cell. As for the raw formation energy: -0.25 eV/atom. The value obtained for the distance to the lowest polymorph of the same formula is 639 meV per atom.

***

The following is a PBE calculation of a geometry-optimized Ni2AgSb structure, from Alexandria.

The structure in extended XYZ format:
```
4
Lattice="-1.501 3.672 -2.990 -1.063 -1.449 -4.632 -1.275 -1.564 4.540" Properties=species:S:1:pos:R:3 pbc="T T T"
Ag -2.030 1.610 -1.131
Ni 0.000 0.000 0.000
Ni -1.811 -0.951 -1.951
Sb -1.282 1.112 -3.811
```

Computed properties:
The value obtained for the total moment is 0.000 μB per cell. As for the raw formation energy: 0.10 eV/atom.

***

The following is a PBE calculation of a geometry-optimized ZnAu4Cl structure, from Alexandria.

The structure in extended XYZ format:
```
6
Lattice="4.386 -3.351 -0.691 -0.749 -5.254 -1.666 1.543 -1.542 -5.117" Properties=species:S:1:pos:R:3 pbc="T T T"
Zn 0.000 0.000 0.000
Au 4.137 -5.481 -3.147
Au 2.714 -4.576 -5.363
Au 1.566 -6.434 -3.635
Au 1.941 -3.803 -2.801
Cl 3.884 -7.610 -5.605
```

Computed properties:
The value obtained for the total moment is 0.000 μB per cell. As for the raw formation energy: 0.13 eV/atom.

***

The following is a PBE calculation of a geometry-optimized BaLa2Y structure, from Alexandria.

The structure in extended XYZ format:
```
4
Lattice="3.724 -0.070 0.000 -1.507 3.406 0.000 0.000 0.000 12.682" Properties=species:S:1:pos:R:3 pbc="T T T"
Ba 1.109 1.668 9.420
La 0.000 0.000 0.234
La 1.109 1.668 3.238
Y 0.000 0.000 6.132
```

Computed properties:
The value obtained for the total moment is 0.016 μB per cell. The value obtained for the energy relative to the elements is 201 meV/atom. The value obtained for the distance to the lowest polymorph of the same formula is 94 meV per atom.

***

Question: Number 6 is which compound?
Answer: BaLa2Y